1.
DFT (PBE with a Hubbard U) results for crystalline PuMnP2O8 at its relaxed geometry.

- E_tot (eV/cell) = -98.385

Cell lengths 5.0084, 5.0084, 6.7245 Å; angles 90.00, 90.00, 120.00 degrees
Closest atoms and distances in Å follow each position.
Fractional coordinates of all 12 atoms:
Mn: 0.0000 0.0000 0.5000  6 O 1.96
O: 0.3338 0.2323 0.3103  1 P 1.55
P: 0.3333 0.6667 0.7573  4 O 1.54-1.55
P: 0.6667 0.3333 0.2427  4 O 1.54-1.55
Pu: 0.0000 0.0000 0.0000  6 O 2.56
O: 0.3333 0.6667 0.9861  1 P 1.54
O: 0.1015 0.3338 0.6897  1 P 1.55
O: 0.7677 0.1015 0.3103  1 P 1.55
O: 0.6662 0.7677 0.6897  1 P 1.55
O: 0.6667 0.3333 0.0139  1 P 1.54
O: 0.2323 0.8985 0.6897  1 P 1.55
O: 0.8985 0.6662 0.3103  1 P 1.55



2.
DFT (PBE with a Hubbard U) results for crystalline RbMnPO2 at its relaxed geometry.

- ΔE to the lowest computed polymorph (kcal/mol of atoms) = 0.00
- E_tot (eV/cell) = -25.010

Cell lengths 4.2051, 4.2051, 4.8390 Å; angles 90.00, 90.00, 90.00 degrees
Closest atoms and distances in Å follow each position.
Fractional coordinates of all 5 atoms:
Rb: 0.5000 0.5000 0.5000  4 P 2.97, 8 O 3.21
P: 0.0000 0.0000 0.5000  2 Mn 2.42
Mn: 0.0000 0.0000 0.0000  4 O 2.10
O: 0.0000 0.5000 0.0000  2 Mn 2.10
O: 0.5000 0.0000 0.0000  2 Mn 2.10